RbCoW3 after structural relaxation, computed with PBE.

## Properties
SG: Pm-3m (221)
Energy above the lowest structure with this stoichiometry, meV/atom: 2068
ΔE_f, meV per atom: 4187
Total moment, μB/cell: 0.00

Cell lengths 4.6130, 4.6130, 4.6130 Å; angles 90.00, 90.00, 90.00 degrees
With the nearest neighbours (Å) after each atom.
Atoms (fractional coordinates):
Rb (0.0000, 0.0000, 0.0000)  6 W 2.31
Co (0.5000, 0.5000, 0.5000)  12 W 3.26
W (0.0000, 0.0000, 0.5000)  2 Rb 2.31
W (0.0000, 0.5000, 0.0000)  2 Rb 2.31
W (0.5000, 0.0000, 0.0000)  2 Rb 2.31



RbCoW2 after structural relaxation, computed with PBE.

## Properties
SG: I4_1/amd (141)
Energy above the lowest structure with this stoichiometry, meV/atom: 0
ΔE_f, meV per atom: 1974
Total moment, μB/cell: 0.00

Cell lengths 8.9183, 8.9183, 8.9183 Å; angles 146.69, 146.69, 47.82 degrees
With the nearest neighbours (Å) after each atom.
Atoms (fractional coordinates):
Rb (0.3750, 0.6250, 0.7500)  8 W 3.51, 4 Co 3.61
Rb (0.6250, 0.3750, 0.2500)  8 W 3.51, 4 Co 3.61
Co (0.1250, 0.8750, 0.2500)  4 W 2.41
Co (0.8750, 0.1250, 0.7500)  4 W 2.41
W (0.0000, 0.0000, 0.0000)  2 Co 2.41, 2 W 2.56
W (0.0000, 0.0000, 0.5000)  2 Co 2.41, 2 W 2.56
W (0.0000, 0.5000, 0.0000)  2 Co 2.41, 2 W 2.56
W (0.5000, 0.0000, 0.5000)  2 Co 2.41, 2 W 2.56



RbCoW2 after structural relaxation, computed with PBE.

## Properties
SG: Fm-3m (225)
Energy above the lowest structure with this stoichiometry, meV/atom: 181
ΔE_f, meV per atom: 2154
Total moment, μB/cell: 0.00

Cell lengths 4.5270, 4.5270, 4.5270 Å; angles 60.00, 60.00, 60.00 degrees
With the nearest neighbours (Å) after each atom.
Atoms (fractional coordinates):
Rb (0.0000, 0.0000, 0.0000)  8 W 2.77
Co (0.5000, 0.5000, 0.5000)  8 W 2.77
W (0.2500, 0.2500, 0.2500)  4 Co 2.77, 4 Rb 2.77
W (0.7500, 0.7500, 0.7500)  4 Co 2.77, 4 Rb 2.77



RbY3Co after structural relaxation, computed with PBE.

## Properties
SG: Pm-3m (221)
Energy above the lowest structure with this stoichiometry, meV/atom: 1616
ΔE_f, meV per atom: 1820
Total moment, μB/cell: 1.71

Cell lengths 5.3614, 5.3614, 5.3614 Å; angles 90.00, 90.00, 90.00 degrees
With the nearest neighbours (Å) after each atom.
Atoms (fractional coordinates):
Rb (0.0000, 0.0000, 0.0000)  6 Y 2.68
Y (0.0000, 0.0000, 0.5000)  2 Rb 2.68
Y (0.0000, 0.5000, 0.0000)  2 Rb 2.68
Y (0.5000, 0.0000, 0.0000)  2 Rb 2.68
Co (0.5000, 0.5000, 0.5000)  12 Y 3.79



RbY3Co after structural relaxation, computed with PBE.

## Properties
SG: Pm-3m (221)
Energy above the lowest structure with this stoichiometry, meV/atom: 0
ΔE_f, meV per atom: 204
Total moment, μB/cell: 0.00

Cell lengths 5.4612, 5.4612, 5.4612 Å; angles 90.00, 90.00, 90.00 degrees
With the nearest neighbours (Å) after each atom.
Atoms (fractional coordinates):
Rb (0.0000, 0.0000, 0.0000)  12 Y 3.86
Y (0.0000, 0.5000, 0.5000)  2 Co 2.73
Y (0.5000, 0.0000, 0.5000)  2 Co 2.73
Y (0.5000, 0.5000, 0.0000)  2 Co 2.73
Co (0.5000, 0.5000, 0.5000)  6 Y 2.73



RbYZrCo2 after structural relaxation, computed with PBE.

## Properties
SG: P4/mmm (123)
ΔE_f, meV per atom: 1231
Total moment, μB/cell: 1.13

Cell lengths 4.7390, 4.7390, 5.4006 Å; angles 90.00, 90.00, 90.00 degrees
With the nearest neighbours (Å) after each atom.
Atoms (fractional coordinates):
Rb (0.0000, 0.0000, 0.0000)  2 Zr 2.70
Y (0.5000, 0.5000, 0.0000)  4 Rb 3.35, 8 Co 3.59
Zr (0.0000, 0.0000, 0.5000)  4 Co 2.37
Co (0.0000, 0.5000, 0.5000)  2 Zr 2.37
Co (0.5000, 0.0000, 0.5000)  2 Zr 2.37



RbZnCo3 after structural relaxation, computed with PBE.

## Properties
SG: Pm-3m (221)
Energy above the lowest structure with this stoichiometry, meV/atom: 1202
ΔE_f, meV per atom: 2503
Total moment, μB/cell: 3.94

Cell lengths 4.6084, 4.6084, 4.6084 Å; angles 90.00, 90.00, 90.00 degrees
With the nearest neighbours (Å) after each atom.
Atoms (fractional coordinates):
Rb (0.0000, 0.0000, 0.0000)  6 Co 2.30
Zn (0.5000, 0.5000, 0.5000)  12 Co 3.26
Co (0.0000, 0.0000, 0.5000)  2 Rb 2.30
Co (0.0000, 0.5000, 0.0000)  2 Rb 2.30
Co (0.5000, 0.0000, 0.0000)  2 Rb 2.30



RbZn2Co after structural relaxation, computed with PBE.

## Properties
SG: I4_1/amd (141)
Energy above the lowest structure with this stoichiometry, meV/atom: 0
ΔE_f, meV per atom: 477
Total moment, μB/cell: 1.78

Cell lengths 8.7246, 8.7246, 8.7246 Å; angles 143.84, 143.84, 52.07 degrees
With the nearest neighbours (Å) after each atom.
Atoms (fractional coordinates):
Rb (0.3750, 0.6250, 0.7500)  8 Zn 3.61, 4 Co 3.83
Rb (0.6250, 0.3750, 0.2500)  8 Zn 3.61, 4 Co 3.83
Zn (0.0000, 0.0000, 0.0000)  2 Co 2.38
Zn (0.0000, 0.0000, 0.5000)  2 Co 2.38
Zn (0.0000, 0.5000, 0.0000)  2 Co 2.38
Zn (0.5000, 0.0000, 0.5000)  2 Co 2.38
Co (0.1250, 0.8750, 0.2500)  4 Zn 2.38
Co (0.8750, 0.1250, 0.7500)  4 Zn 2.38



RbZn2Co2 after structural relaxation, computed with PBE.

## Properties
SG: I4/mmm (139)
Energy above the lowest structure with this stoichiometry, meV/atom: 0
ΔE_f, meV per atom: 430
Total moment, μB/cell: 3.37

Cell lengths 9.6140, 9.6140, 9.6140 Å; angles 159.74, 159.74, 28.81 degrees
With the nearest neighbours (Å) after each atom.
Atoms (fractional coordinates):
Rb (0.0000, 0.0000, 0.0000)  4 Rb 3.38, 8 Zn 3.64
Zn (0.3530, 0.3530, 0.0000)  4 Co 2.56
Zn (0.6470, 0.6470, 0.0000)  4 Co 2.56
Co (0.2500, 0.7500, 0.5000)  4 Co 2.39, 4 Zn 2.56
Co (0.7500, 0.2500, 0.5000)  4 Co 2.39, 4 Zn 2.56



RbZn2Co2 after structural relaxation, computed with PBE.

## Properties
SG: P4/mbm (127)
Energy above the lowest structure with this stoichiometry, meV/atom: 93
ΔE_f, meV per atom: 523
Total moment, μB/cell: 5.09

Cell lengths 8.1061, 8.1061, 2.7226 Å; angles 90.00, 90.00, 90.00 degrees
With the nearest neighbours (Å) after each atom.
Atoms (fractional coordinates):
Rb (0.0000, 0.0000, 0.0000)  2 Rb 2.72, 4 Zn 3.01
Rb (0.5000, 0.5000, 0.0000)  2 Rb 2.72, 4 Zn 3.01
Zn (0.1703, 0.3297, 0.0000)  4 Co 2.63, 2 Zn 2.72
Zn (0.3297, 0.8297, 0.0000)  4 Co 2.63, 2 Zn 2.72
Zn (0.6703, 0.1703, 0.0000)  4 Co 2.63, 2 Zn 2.72
Zn (0.8297, 0.6703, 0.0000)  4 Co 2.63, 2 Zn 2.72
Co (0.0985, 0.5985, 0.5000)  1 Co 2.26
Co (0.4015, 0.0985, 0.5000)  1 Co 2.26
Co (0.5985, 0.9015, 0.5000)  1 Co 2.26
Co (0.9015, 0.4015, 0.5000)  1 Co 2.26



RbZnCo3 after structural relaxation, computed with PBE.

## Properties
SG: Pm-3m (221)
Energy above the lowest structure with this stoichiometry, meV/atom: 0
ΔE_f, meV per atom: 1301
Total moment, μB/cell: 5.08

Cell lengths 4.7094, 4.7094, 4.7094 Å; angles 90.00, 90.00, 90.00 degrees
With the nearest neighbours (Å) after each atom.
Atoms (fractional coordinates):
Rb (0.0000, 0.0000, 0.0000)  12 Co 3.33
Zn (0.5000, 0.5000, 0.5000)  6 Co 2.35
Co (0.0000, 0.5000, 0.5000)  2 Zn 2.35
Co (0.5000, 0.0000, 0.5000)  2 Zn 2.35
Co (0.5000, 0.5000, 0.0000)  2 Zn 2.35



RbZnCo2 after structural relaxation, computed with PBE.

## Properties
SG: I4_1/amd (141)
ΔE_f, meV per atom: 833
Total moment, μB/cell: 5.84

Cell lengths 9.3622, 9.3622, 9.3622 Å; angles 150.84, 150.84, 41.70 degrees
With the nearest neighbours (Å) after each atom.
Atoms (fractional coordinates):
Rb (0.3750, 0.6250, 0.7500)  4 Zn 3.33, 8 Co 3.42
Rb (0.6250, 0.3750, 0.2500)  4 Zn 3.33, 8 Co 3.42
Zn (0.1250, 0.8750, 0.2500)  4 Co 2.48
Zn (0.8750, 0.1250, 0.7500)  4 Co 2.48
Co (0.0000, 0.0000, 0.0000)  2 Co 2.36, 2 Zn 2.48
Co (0.0000, 0.0000, 0.5000)  2 Co 2.36, 2 Zn 2.48
Co (0.0000, 0.5000, 0.0000)  2 Co 2.36, 2 Zn 2.48
Co (0.5000, 0.0000, 0.5000)  2 Co 2.36, 2 Zn 2.48



RbZn2Co after structural relaxation, computed with PBE.

## Properties
SG: Fm-3m (225)
Energy above the lowest structure with this stoichiometry, meV/atom: 380
ΔE_f, meV per atom: 856
Total moment, μB/cell: 1.57

Cell lengths 5.0681, 5.0681, 5.0681 Å; angles 60.00, 60.00, 60.00 degrees
With the nearest neighbours (Å) after each atom.
Atoms (fractional coordinates):
Rb (0.0000, 0.0000, 0.0000)  8 Zn 3.10
Zn (0.2500, 0.2500, 0.2500)  4 Co 3.10, 4 Rb 3.10
Zn (0.7500, 0.7500, 0.7500)  4 Co 3.10, 4 Rb 3.10
Co (0.5000, 0.5000, 0.5000)  8 Zn 3.10



RbZn3Co after structural relaxation, computed with PBE.

## Properties
SG: Pm-3m (221)
Energy above the lowest structure with this stoichiometry, meV/atom: 1306
ΔE_f, meV per atom: 1477
Total moment, μB/cell: 2.10

Cell lengths 6.6175, 6.6175, 6.6175 Å; angles 90.00, 90.00, 90.00 degrees
With the nearest neighbours (Å) after each atom.
Atoms (fractional coordinates):
Rb (0.0000, 0.0000, 0.0000)  6 Zn 3.31
Zn (0.0000, 0.0000, 0.5000)  2 Rb 3.31
Zn (0.0000, 0.5000, 0.0000)  2 Rb 3.31
Zn (0.5000, 0.0000, 0.0000)  2 Rb 3.31
Co (0.5000, 0.5000, 0.5000)  12 Zn 4.68



RbZn3Co after structural relaxation, computed with PBE.

## Properties
SG: Pm-3m (221)
Energy above the lowest structure with this stoichiometry, meV/atom: 0
ΔE_f, meV per atom: 171
Total moment, μB/cell: 0.00

Cell lengths 4.8063, 4.8063, 4.8063 Å; angles 90.00, 90.00, 90.00 degrees
With the nearest neighbours (Å) after each atom.
Atoms (fractional coordinates):
Rb (0.0000, 0.0000, 0.0000)  12 Zn 3.40
Zn (0.0000, 0.5000, 0.5000)  2 Co 2.40
Zn (0.5000, 0.0000, 0.5000)  2 Co 2.40
Zn (0.5000, 0.5000, 0.0000)  2 Co 2.40
Co (0.5000, 0.5000, 0.5000)  6 Zn 2.40



Rb3ZnCo after structural relaxation, computed with PBE.

## Properties
SG: Pm-3m (221)
Energy above the lowest structure with this stoichiometry, meV/atom: 0
ΔE_f, meV per atom: 789
Total moment, μB/cell: 0.61

Cell lengths 6.6164, 6.6164, 6.6164 Å; angles 90.00, 90.00, 90.00 degrees
With the nearest neighbours (Å) after each atom.
Atoms (fractional coordinates):
Rb (0.0000, 0.0000, 0.5000)  2 Co 3.31
Rb (0.0000, 0.5000, 0.0000)  2 Co 3.31
Rb (0.5000, 0.0000, 0.0000)  2 Co 3.31
Zn (0.5000, 0.5000, 0.5000)  12 Rb 4.68
Co (0.0000, 0.0000, 0.0000)  6 Rb 3.31



Rb2ZrCo after structural relaxation, computed with PBE.

## Properties
SG: I-42d (122)
Energy above the lowest structure with this stoichiometry, meV/atom: 0
ΔE_f, meV per atom: 1006
Total moment, μB/cell: 0.00

Cell lengths 9.7710, 9.7710, 9.7710 Å; angles 93.08, 93.08, 153.19 degrees
With the nearest neighbours (Å) after each atom.
Atoms (fractional coordinates):
Rb (0.3750, 0.2104, 0.3354)  2 Co 3.60, 2 Zr 3.94
Rb (0.7896, 0.1250, 0.1646)  2 Co 3.60, 2 Zr 3.94
Rb (0.8750, 0.0396, 0.6646)  2 Co 3.60, 2 Zr 3.94
Rb (0.9604, 0.6250, 0.8354)  2 Co 3.60, 2 Zr 3.94
Zr (0.2500, 0.7500, 0.5000)  2 Co 2.27
Zr (0.5000, 0.5000, 0.0000)  2 Co 2.27
Co (0.0000, 0.0000, 0.0000)  2 Zr 2.27
Co (0.7500, 0.2500, 0.5000)  2 Zr 2.27



RbZrCo3 after structural relaxation, computed with PBE.

## Properties
SG: Pm-3m (221)
Energy above the lowest structure with this stoichiometry, meV/atom: 793
ΔE_f, meV per atom: 2169
Total moment, μB/cell: 0.00

Cell lengths 4.4721, 4.4721, 4.4721 Å; angles 90.00, 90.00, 90.00 degrees
With the nearest neighbours (Å) after each atom.
Atoms (fractional coordinates):
Rb (0.0000, 0.0000, 0.0000)  6 Co 2.24
Zr (0.5000, 0.5000, 0.5000)  12 Co 3.16
Co (0.0000, 0.0000, 0.5000)  2 Rb 2.24
Co (0.0000, 0.5000, 0.0000)  2 Rb 2.24
Co (0.5000, 0.0000, 0.0000)  2 Rb 2.24



RbZr4Co2 after structural relaxation, computed with PBE.

## Properties
SG: I4/mmm (139)
ΔE_f, meV per atom: 1413
Total moment, μB/cell: 1.18

Cell lengths 7.1882, 7.1882, 7.1882 Å; angles 138.76, 138.76, 59.74 degrees
With the nearest neighbours (Å) after each atom.
Atoms (fractional coordinates):
Rb (0.0000, 0.0000, 0.0000)  6 Zr 2.53-2.78
Zr (0.0000, 0.5000, 0.5000)  2 Rb 2.53, 4 Co 2.81
Zr (0.2233, 0.2233, 0.0000)  1 Co 2.23
Zr (0.5000, 0.0000, 0.5000)  2 Rb 2.53, 4 Co 2.81
Zr (0.7767, 0.7767, 0.0000)  1 Co 2.23
Co (0.4020, 0.4020, 0.0000)  1 Zr 2.23, 1 Co 2.44
Co (0.5980, 0.5980, 0.0000)  1 Zr 2.23, 1 Co 2.44



RbZr2Co after structural relaxation, computed with PBE.

## Properties
SG: Fm-3m (225)
Energy above the lowest structure with this stoichiometry, meV/atom: 11
ΔE_f, meV per atom: 1080
Total moment, μB/cell: 0.00

Cell lengths 4.9091, 4.9091, 4.9091 Å; angles 60.00, 60.00, 60.00 degrees
With the nearest neighbours (Å) after each atom.
Atoms (fractional coordinates):
Rb (0.0000, 0.0000, 0.0000)  8 Zr 3.01
Zr (0.2500, 0.2500, 0.2500)  4 Co 3.01, 4 Rb 3.01
Zr (0.7500, 0.7500, 0.7500)  4 Co 3.01, 4 Rb 3.01
Co (0.5000, 0.5000, 0.5000)  8 Zr 3.01